Record 1
First-principles (PBE) data for KTiTl after structural relaxation, as listed in the Alexandria database.

Cell lengths 14.314, 3.767, 3.350 Å; angles 90.00, 84.06, 82.77 degrees
Element x y z (fractional)
K1 0.651 0.917 0.905
K2 0.349 0.083 0.095
Tl1 0.167 0.670 0.676
Tl2 0.833 0.330 0.324
Ti1 0.049 0.226 0.228
Ti2 0.951 0.774 0.772

Calculated values
E_form = 0.12 eV/atom
SG = P-1 (2)
offset from the most stable computed form = 0.0038 eV per atom
uncorrected energy = -3.66 eV/atom

---

Record 2
First-principles (PBE) data for KTi2Tl after structural relaxation, as listed in the Alexandria database.

Cell lengths 4.669, 4.669, 11.325 Å; angles 78.11, 78.11, 90.00 degrees
Element x y z (fractional)
Ti1 0.875 0.073 0.750
Ti2 0.823 0.125 0.250
Ti3 0.927 0.625 0.250
Ti4 0.375 0.177 0.750
Tl1 0.000 0.000 0.000
Tl2 0.750 0.250 0.500
K1 0.250 0.750 0.500
K2 0.500 0.500 0.000

Calculated values
E_form = 0.90 eV/atom
SG = I-42d (122)
offset from the most stable computed form = 0.0105 eV per atom
uncorrected energy = -3.92 eV/atom

---

Record 3
First-principles (PBE) data for KTi3Tl after structural relaxation, as listed in the Alexandria database.

Cell lengths 4.650, 4.650, 4.650 Å; angles 90.00, 90.00, 90.00 degrees
Each line ends with the local moment (μB).
Element x y z (fractional)
Ti1 0.500 0.000 0.000  0.52
Ti2 0.000 0.500 0.000  0.61
Ti3 0.000 0.000 0.500  0.73
Tl1 0.500 0.500 0.500  -0.02
K1 0.000 0.000 0.000  0.17

Calculated values
E_form = 1.84 eV/atom
SG = Pm-3m (221)
offset from the most stable computed form = 0.5773 eV per atom
uncorrected energy = -3.59 eV/atom

---

Record 4
First-principles (PBE) data for KTiV2 after structural relaxation, as listed in the Alexandria database.

Cell lengths 4.376, 4.376, 9.948 Å; angles 77.30, 77.30, 90.00 degrees
Element x y z (fractional)
Ti1 0.000 0.000 0.000
Ti2 0.750 0.250 0.500
V1 0.875 0.027 0.750
V2 0.777 0.125 0.250
V3 0.375 0.223 0.750
V4 0.973 0.625 0.250
K1 0.500 0.500 0.000
K2 0.250 0.750 0.500

Calculated values
E_form = 1.62 eV/atom
SG = I-42d (122)
offset from the most stable computed form = 0.1494 eV per atom
uncorrected energy = -5.19 eV/atom

---

Record 5
First-principles (PBE) data for KTiV3 after structural relaxation, as listed in the Alexandria database.

Cell lengths 4.878, 4.878, 4.878 Å; angles 90.00, 90.00, 90.00 degrees
Each line ends with the local moment (μB).
Element x y z (fractional)
V1 0.500 0.000 0.000  2.12
V2 0.000 0.500 0.000  2.12
V3 0.000 0.000 0.500  2.12
Ti1 0.000 0.000 0.000  -0.02
K1 0.500 0.500 0.500  0.04

Calculated values
E_form = 1.50 eV/atom
SG = Pm-3m (221)
offset from the most stable computed form = 0.0000 eV per atom
uncorrected energy = -5.77 eV/atom

---

Record 6
First-principles (PBE) data for KTiV2 after structural relaxation, as listed in the Alexandria database.

Cell lengths 4.887, 4.887, 4.887 Å; angles 60.00, 60.00, 60.00 degrees
Each line ends with the local moment (μB).
Element x y z (fractional)
V1 0.250 0.250 0.250  2.21
V2 0.750 0.750 0.750  2.21
K1 0.000 0.000 0.000  0.04
Ti1 0.500 0.500 0.500  0.31

Calculated values
E_form = 1.47 eV/atom
SG = Fm-3m (225)
offset from the most stable computed form = 0.0000 eV per atom
uncorrected energy = -5.34 eV/atom

---

Record 7
First-principles (PBE) data for KTi2V after structural relaxation, as listed in the Alexandria database.

Cell lengths 4.895, 4.895, 4.895 Å; angles 60.00, 60.00, 60.00 degrees
Each line ends with the local moment (μB).
Element x y z (fractional)
Ti1 0.250 0.250 0.250  0.28
Ti2 0.750 0.750 0.750  0.28
K1 0.000 0.000 0.000  0.02
V1 0.500 0.500 0.500  2.20

Calculated values
E_form = 1.24 eV/atom
SG = Fm-3m (225)
offset from the most stable computed form = 0.0000 eV per atom
uncorrected energy = -5.26 eV/atom

---

Record 8
First-principles (PBE) data for KTi2V after structural relaxation, as listed in the Alexandria database.

Cell lengths 7.125, 7.125, 7.135 Å; angles 60.05, 60.05, 90.00 degrees
Element x y z (fractional)
V1 0.750 0.250 0.500
V2 0.000 0.000 0.000
K1 0.500 0.500 0.000
K2 0.250 0.750 0.500
Ti1 0.375 0.125 0.750
Ti2 0.875 0.625 0.250
Ti3 0.875 0.125 0.750
Ti4 0.875 0.125 0.250

Calculated values
E_form = 1.29 eV/atom
SG = I4_1/amd (141)
offset from the most stable computed form = 0.0493 eV per atom
uncorrected energy = -5.21 eV/atom

---

Record 9
First-principles (PBE) data for K3TiV after structural relaxation, as listed in the Alexandria database.

Cell lengths 6.501, 6.501, 6.501 Å; angles 90.00, 90.00, 90.00 degrees
Each line ends with the local moment (μB).
Element x y z (fractional)
K1 0.000 0.500 0.000  0.04
K2 0.000 0.000 0.500  0.04
K3 0.500 0.000 0.000  0.04
Ti1 0.500 0.500 0.500  2.06
V1 0.000 0.000 0.000  3.31

Calculated values
E_form = 1.57 eV/atom
SG = Pm-3m (221)
offset from the most stable computed form = 0.0000 eV per atom
uncorrected energy = -2.49 eV/atom

---

Record 10
First-principles (PBE) data for KTiW2 after structural relaxation, as listed in the Alexandria database.

Cell lengths 4.719, 4.719, 4.719 Å; angles 60.00, 60.00, 60.00 degrees
Element x y z (fractional)
W1 0.250 0.250 0.250
W2 0.750 0.750 0.750
Ti1 0.500 0.500 0.500
K1 0.000 0.000 0.000

Calculated values
E_form = 1.84 eV/atom
SG = Fm-3m (225)
offset from the most stable computed form = 0.0000 eV per atom
uncorrected energy = -6.88 eV/atom

---

Record order is preserved below.
Theoretical density: 5.428 4.771 6.394 3.465 3.430 3.800 3.719 2.405 1.306 10.160 g cm⁻³